No. 1
Here is a geometry-optimized TiTlAgI6 structure from Alexandria. Energies are from GGA-PBE.

Lattice parameters (Å, degrees): 7.662 7.662 7.316 90.31 90.31 120.48
Fractional coordinates of all 9 atoms:
Ti 0.000 0.000 0.000
Tl 0.666 0.334 0.500
Ag 0.331 0.669 0.000
I 0.023 0.720 0.220
I 0.025 0.309 0.781
I 0.280 0.310 0.223
I 0.280 0.977 0.780
I 0.690 0.720 0.777
I 0.691 0.975 0.219

Output
As for the space-group type: C2. The value obtained for the uncorrected formation energy is -0.55 eV/atom. The size of the total moment is 0.00 μB/atom.

=====

No. 2
Here is a geometry-optimized TiV3Si structure from Alexandria. Energies are from GGA-PBE.

Lattice parameters (Å, degrees): 4.352 4.352 4.352 90.00 90.00 90.00
Fractional coordinates of all 5 atoms:
Ti 0.000 0.000 0.000
V 0.000 0.000 0.500
V 0.000 0.500 0.000
V 0.500 0.000 0.000
Si 0.500 0.500 0.500

Output
As for the space-group type: Pm-3m. The value obtained for the uncorrected formation energy is 1.20 eV/atom. The size of the total moment is 0.00 μB/atom.

=====

No. 3
Here is a geometry-optimized La2EuTc structure from Alexandria. Energies are from GGA-PBE.

Lattice parameters (Å, degrees): 6.184 6.184 6.184 46.88 46.88 46.88
Fractional coordinates of all 4 atoms:
La 0.227 0.227 0.227
La 0.773 0.773 0.773
Eu 0.000 0.000 0.000
Tc 0.500 0.500 0.500

Output
As for the space-group type: R-3m. The formation energy from the elements is 0.223 eV/atom. The size of the total moment is 1.82 μB/atom.